[1]
A plane-wave DFT calculation with PBEsol was carried out for a geometry-optimized MgRhPb3 structure.

Calculated values
- DOS at the Fermi energy: 4.35 states/eV per cell
- DFT formation energy: 0.184 eV/atom

Structure (CIF):
```
data_MgRhPb3
_chemical_formula_sum 'Mg1 Rh1 Pb3'
_space_group_name_H-M_alt 'P m -3 m'
_space_group_IT_number 221
_space_group_name_Hall '-P 4 2 3'
_cell_length_a 5.250
_cell_length_b 5.250
_cell_length_c 5.250
_cell_angle_alpha 90.00
_cell_angle_beta 90.00
_cell_angle_gamma 90.00
loop_
_atom_site_label
_atom_site_type_symbol
_atom_site_fract_x
_atom_site_fract_y
_atom_site_fract_z
Mg1 Mg 0.000 0.000 0.000
Rh1 Rh 0.500 0.500 0.500
Pb1 Pb 0.000 0.500 0.500
```

---

[2]
A plane-wave DFT calculation with PBEsol was carried out for a geometry-optimized Ti2HgPt2 structure.

Calculated values
- Energy above the lowest structure with this stoichiometry: 215.8 meV per atom
- DOS at the Fermi energy: 2.08 states/eV per cell
- DFT formation energy: -0.499 eV/atom

Structure (CIF):
```
data_Ti2HgPt2
_chemical_formula_sum 'Ti4 Hg2 Pt4'
_space_group_name_H-M_alt 'I 4/m m m'
_space_group_IT_number 139
_space_group_name_Hall '-I 4 2'
_cell_length_a 4.290
_cell_length_b 4.290
_cell_length_c 10.093
_cell_angle_alpha 90.00
_cell_angle_beta 90.00
_cell_angle_gamma 90.00
loop_
_atom_site_label
_atom_site_type_symbol
_atom_site_fract_x
_atom_site_fract_y
_atom_site_fract_z
Ti1 Ti 0.000 0.500 0.250
Hg1 Hg 0.000 0.000 0.000
Pt1 Pt 0.000 0.000 0.375
```

---

[3]
A plane-wave DFT calculation with PBEsol was carried out for a geometry-optimized Mg3ReC structure.

Calculated values
- DOS at the Fermi energy: 4.75 states/eV per cell
- DFT formation energy: 2.389 eV/atom

Structure (CIF):
```
data_Mg3ReC
_chemical_formula_sum 'Mg3 Re1 C1'
_space_group_name_H-M_alt 'P m -3 m'
_space_group_IT_number 221
_space_group_name_Hall '-P 4 2 3'
_cell_length_a 5.039
_cell_length_b 5.039
_cell_length_c 5.039
_cell_angle_alpha 90.00
_cell_angle_beta 90.00
_cell_angle_gamma 90.00
loop_
_atom_site_label
_atom_site_type_symbol
_atom_site_fract_x
_atom_site_fract_y
_atom_site_fract_z
Mg1 Mg 0.000 0.000 0.500
Re1 Re 0.000 0.000 0.000
C1 C 0.500 0.500 0.500
```

---

[4]
A plane-wave DFT calculation with PBEsol was carried out for a geometry-optimized BeTc2Se structure.

Calculated values
- Energy above the lowest structure with this stoichiometry: 175.9 meV per atom
- DOS at the Fermi energy: 5.63 states/eV per cell

Structure (CIF):
```
data_BeTc2Se
_chemical_formula_sum 'Be2 Tc4 Se2'
_space_group_name_H-M_alt 'I m m 2'
_space_group_IT_number 44
_cell_length_a 3.044
_cell_length_b 4.092
_cell_length_c 8.307
_cell_angle_alpha 90.00
_cell_angle_beta 90.00
_cell_angle_gamma 90.00
loop_
_space_group_symop_operation_xyz
'x,y,z'
'-x,-y,z'
'-x,y,z'
'x,-y,z'
'x+1/2,y+1/2,z+1/2'
'-x+1/2,-y+1/2,z+1/2'
'-x+1/2,y+1/2,z+1/2'
'x+1/2,-y+1/2,z+1/2'
loop_
_atom_site_label
_atom_site_type_symbol
_atom_site_fract_x
_atom_site_fract_y
_atom_site_fract_z
Be1 Be 0.000 0.000 0.000
Tc1 Tc 0.000 0.000 0.499
Tc2 Tc 0.000 0.500 0.271
Se1 Se 0.000 0.500 0.752
```

---

[5]
A plane-wave DFT calculation with PBEsol was carried out for a geometry-optimized NdCl3 structure.

Calculated values
- Electronic total energy: -0.1883 Ha/atom
- DOS at the Fermi energy: 0.00 states/eV per cell

Structure (CIF):
```
data_NdCl3
_chemical_formula_sum 'Nd2 Cl6'
_space_group_name_H-M_alt 'P 63/m'
_space_group_IT_number 176
_space_group_name_Hall '-P 6c'
_cell_length_a 7.3576
_cell_length_b 7.3576
_cell_length_c 4.2005
_cell_angle_alpha 90.00
_cell_angle_beta 90.00
_cell_angle_gamma 120.00
loop_
_atom_site_label
_atom_site_type_symbol
_atom_site_fract_x
_atom_site_fract_y
_atom_site_fract_z
Nd1 Nd 0.3333 0.6667 0.2500
Cl1 Cl 0.0857 0.6978 0.7500
```

---

[6]
A plane-wave DFT calculation with PBEsol was carried out for a geometry-optimized Er4Co3 structure.

Calculated values
- DOS at the Fermi energy: 14.24 states/eV per cell
- DFT formation energy: -0.208 eV/atom

Structure (CIF):
```
data_Er4Co3
_chemical_formula_sum 'Er12 Co9'
_space_group_name_H-M_alt 'P -3'
_space_group_IT_number 147
_cell_length_a 10.9447
_cell_length_b 10.9447
_cell_length_c 3.9209
_cell_angle_alpha 90.00
_cell_angle_beta 90.00
_cell_angle_gamma 120.00
loop_
_space_group_symop_operation_xyz
'x,y,z'
'-x,-y,-z'
'-y,x-y,z'
'y,-x+y,-z'
'-x+y,-x,z'
'x-y,x,-z'
loop_
_atom_site_label
_atom_site_type_symbol
_atom_site_fract_x
_atom_site_fract_y
_atom_site_fract_z
Er1 Er 0.0249 0.7790 0.2496
Er2 Er 0.1347 0.5142 0.2515
Co1 Co 0.0000 0.0000 0.5000
Co2 Co 0.1557 0.7189 0.7486
Co3 Co 0.3333 0.6667 0.7528
```

---

[7]
A plane-wave DFT calculation with PBEsol was carried out for a geometry-optimized PCF3 structure.

Calculated values
- Electronic total energy: -0.1320 Ha/atom
- DOS at the Fermi energy: 3.09 states/eV per cell

Structure (CIF):
```
data_PCF3
_chemical_formula_sum 'P1 C1 F3'
_space_group_name_H-M_alt 'P m -3 m'
_space_group_IT_number 221
_space_group_name_Hall '-P 4 2 3'
_cell_length_a 3.840
_cell_length_b 3.840
_cell_length_c 3.840
_cell_angle_alpha 90.00
_cell_angle_beta 90.00
_cell_angle_gamma 90.00
loop_
_atom_site_label
_atom_site_type_symbol
_atom_site_fract_x
_atom_site_fract_y
_atom_site_fract_z
P1 P 0.000 0.000 0.000
C1 C 0.500 0.500 0.500
F1 F 0.000 0.500 0.500
```

---

[8]
A plane-wave DFT calculation with PBEsol was carried out for a geometry-optimized ScCuMo2 structure.

Calculated values
- Energy above the lowest structure with this stoichiometry: 0.0 meV per atom
- DOS at the Fermi energy: 6.28 states/eV per cell
- DFT formation energy: 0.163 eV/atom

Structure (CIF):
```
data_ScCuMo2
_chemical_formula_sum 'Sc2 Cu2 Mo4'
_space_group_name_H-M_alt 'C m m 2'
_space_group_IT_number 35
_cell_length_a 3.256
_cell_length_b 4.399
_cell_length_c 8.651
_cell_angle_alpha 90.00
_cell_angle_beta 90.00
_cell_angle_gamma 90.00
loop_
_space_group_symop_operation_xyz
'x,y,z'
'-x,-y,z'
'-x,y,z'
'x,-y,z'
'x+1/2,y+1/2,z'
'-x+1/2,-y+1/2,z'
'-x+1/2,y+1/2,z'
'x+1/2,-y+1/2,z'
loop_
_atom_site_label
_atom_site_type_symbol
_atom_site_fract_x
_atom_site_fract_y
_atom_site_fract_z
Sc1 Sc 0.000 0.000 0.000
Cu1 Cu 0.000 0.500 0.750
Mo1 Mo 0.000 0.000 0.517
Mo2 Mo 0.000 0.500 0.272
```

---

Question: The lowest DOS at the Fermi energy belongs to which entry?
Answer: NdCl3